# 1
# Pa8Bi2Os

Crystalline Pa8Bi2Os at its relaxed geometry (GGA-PBE, the Alexandria database).

a = 5.3334 Å, b = 5.8109 Å, c = 9.3074 Å
α = 93.38°, β = 106.65°, γ = 90.00°
Atoms (fractional coordinates):
Pa 0.4180 0.4297 0.8360
Pa 0.5820 0.5703 0.1640
Pa 0.9643 0.7776 0.9286
Pa 0.3427 0.8312 0.6855
Pa 0.6573 0.1688 0.3145
Pa 0.7674 0.6705 0.5348
Pa 0.2326 0.3295 0.4652
Pa 0.0357 0.2224 0.0714
Bi 0.8435 0.1915 0.6869
Bi 0.1565 0.8085 0.3131
Os 0.5000 0.0000 0.0000

Crystal system: monoclinic
Raw total energy: -8.643 eV/atom


# 2
# CdAg4Au5

Crystalline CdAg4Au5 at its relaxed geometry (GGA-PBE, the Alexandria database).

a = 2.9295 Å, b = 2.9295 Å, c = 21.1820 Å
α = 90.00°, β = 90.00°, γ = 90.00°
Atoms (fractional coordinates):
Au 0.5000 0.5000 0.8978
Au 0.5000 0.5000 0.1022
Au 0.5000 0.5000 0.5000
Au 0.5000 0.5000 0.3018
Au 0.5000 0.5000 0.6982
Ag 0.0000 0.0000 0.2027
Ag 0.0000 0.0000 0.4011
Ag 0.0000 0.0000 0.5989
Ag 0.0000 0.0000 0.7973
Cd 0.0000 0.0000 0.0000

Crystal system: tetragonal
Raw total energy: -2.932 eV/atom


# 3
# Pm5SbAs4

Crystalline Pm5SbAs4 at its relaxed geometry (GGA-PBE, the Alexandria database).

a = 4.2805 Å, b = 6.0741 Å, c = 11.3670 Å
α = 105.50°, β = 100.85°, γ = 90.00°
Atoms (fractional coordinates):
As 0.7974 0.7974 0.5947
As 0.6004 0.6004 0.2008
As 0.3996 0.3996 0.7992
As 0.2026 0.2026 0.4053
Pm 0.8010 0.3010 0.6021
Pm 0.0000 0.5000 0.0000
Pm 0.6068 0.1068 0.2136
Pm 0.1990 0.6990 0.3979
Pm 0.3932 0.8932 0.7864
Sb 0.0000 0.0000 0.0000

Crystal system: orthorhombic
Formation energy without anion corrections: -1.441 eV/atom


# 4
# Dy2Cd2Hg7

Crystalline Dy2Cd2Hg7 at its relaxed geometry (GGA-PBE, the Alexandria database).

a = 6.3544 Å, b = 8.3807 Å, c = 6.3544 Å
α = 90.00°, β = 114.75°, γ = 90.00°
Atoms (fractional coordinates):
Hg 0.9998 0.3080 0.5004
Hg 0.0000 0.0000 0.0000
Hg 0.0002 0.6920 0.4996
Hg 0.4998 0.1889 0.5002
Hg 0.5004 0.6920 0.9998
Hg 0.4996 0.3080 0.0002
Hg 0.5002 0.8111 0.4998
Cd 0.2632 0.0000 0.7368
Cd 0.7368 0.0000 0.2632
Dy 0.7475 0.5000 0.7475
Dy 0.2525 0.5000 0.2525

Crystal system: orthorhombic
Raw total energy: -1.183 eV/atom


# 5
# YCoNiSn

Crystalline YCoNiSn at its relaxed geometry (GGA-PBE, the Alexandria database).

a = 4.5922 Å, b = 4.5922 Å, c = 4.5922 Å
α = 60.00°, β = 60.00°, γ = 60.00°
Each line ends with the local moment (μB).
Atoms (fractional coordinates):
Co 0.5000 0.5000 0.5000  1.10
Y 0.7500 0.7500 0.7500  -0.05
Sn 0.2500 0.2500 0.2500  0.03
Ni 0.0000 0.0000 0.0000  0.34

Crystal system: cubic
Raw total energy: -6.165 eV/atom


# 6
# Rb3NaBr4

Crystalline Rb3NaBr4 at its relaxed geometry (GGA-PBE, the Alexandria database).

a = 4.8002 Å, b = 8.3161 Å, c = 8.3161 Å
α = 109.26°, β = 90.00°, γ = 90.00°
Atoms (fractional coordinates):
Rb 0.5000 0.5000 0.5000
Rb 0.0000 0.5000 0.0000
Rb 0.0000 0.0000 0.5000
Na 0.5000 0.0000 0.0000
Br 0.0000 0.2279 0.2279
Br 0.0000 0.7721 0.7721
Br 0.5000 0.7647 0.2353
Br 0.5000 0.2353 0.7647

Crystal system: orthorhombic
Formation energy without anion corrections: -1.670 eV/atom


# 7
# K2NiPb

Crystalline K2NiPb at its relaxed geometry (GGA-PBE, the Alexandria database).

a = 3.7389 Å, b = 5.3806 Å, c = 6.0335 Å
α = 90.00°, β = 90.00°, γ = 90.00°
Each line ends with the local moment (μB).
Atoms (fractional coordinates):
K 0.0000 0.0000 0.0090  0.00
K 0.0000 0.0000 0.4910  0.00
Pb 0.5000 0.5000 0.7500  0.02
Ni 0.5000 0.5000 0.2500  0.52

Crystal system: orthorhombic
Raw total energy: -2.442 eV/atom


# 8
# NbHPdRh2

Crystalline NbHPdRh2 at its relaxed geometry (GGA-PBE, the Alexandria database).

a = 3.9519 Å, b = 3.9519 Å, c = 4.0521 Å
α = 90.00°, β = 90.00°, γ = 90.00°
Atoms (fractional coordinates):
Rh 0.5000 0.0000 0.0000
Rh 0.0000 0.5000 0.0000
Pd 0.5000 0.5000 0.5000
Nb 0.0000 0.0000 0.5000
H 0.0000 0.0000 0.0000

Crystal system: tetragonal
Raw total energy: -6.950 eV/atom


# 9
# Mg5Co

Crystalline Mg5Co at its relaxed geometry (GGA-PBE, the Alexandria database).

a = 6.5887 Å, b = 6.5887 Å, c = 4.3249 Å
α = 90.00°, β = 90.00°, γ = 142.03°
Each line ends with the local moment (μB).
Atoms (fractional coordinates):
Mg 0.0000 0.0000 0.5000  -0.01
Mg 0.6550 0.3450 0.5000  -0.01
Mg 0.3450 0.6550 0.5000  -0.01
Mg 0.1526 0.8474 0.0000  0.00
Mg 0.8474 0.1526 0.0000  0.00
Co 0.5000 0.5000 0.0000  0.84

Crystal system: orthorhombic
Raw total energy: -2.398 eV/atom


# 10
# PmSiHOs

Crystalline PmSiHOs at its relaxed geometry (GGA-PBE, the Alexandria database).

a = 4.1397 Å, b = 4.1397 Å, c = 7.4100 Å
α = 90.00°, β = 90.00°, γ = 90.00°
Atoms (fractional coordinates):
Si 0.0000 0.5000 0.8359
Si 0.5000 0.0000 0.1641
Pm 0.5000 0.0000 0.6618
Pm 0.0000 0.5000 0.3382
Os 0.5000 0.5000 0.0000
Os 0.0000 0.0000 0.0000
H 0.5000 0.5000 0.5000
H 0.0000 0.0000 0.5000

Crystal system: tetragonal
Raw total energy: -6.839 eV/atom


# 11
# TbPrDySc

Crystalline TbPrDySc at its relaxed geometry (GGA-PBE, the Alexandria database).

a = 5.6001 Å, b = 5.6001 Å, c = 5.6001 Å
α = 60.00°, β = 60.00°, γ = 60.00°
Atoms (fractional coordinates):
Sc 0.0000 0.0000 0.0000
Tb 0.7500 0.7500 0.7500
Pr 0.2500 0.2500 0.2500
Dy 0.5000 0.5000 0.5000

Crystal system: cubic
Raw total energy: -4.972 eV/atom


# 12
# SrCePm4Se8

Crystalline SrCePm4Se8 at its relaxed geometry (GGA-PBE, the Alexandria database).

a = 8.7237 Å, b = 8.7237 Å, c = 8.7610 Å
α = 60.14°, β = 60.14°, γ = 60.00°
Each line ends with the local moment (μB).
Atoms (fractional coordinates):
Se 0.2391 0.7868 0.7349  -0.01
Se 0.7555 0.2282 0.2608  -0.01
Se 0.7555 0.7555 0.2608  -0.01
Se 0.2391 0.2391 0.7349  -0.01
Se 0.2282 0.7555 0.2608  -0.01
Se 0.7577 0.7577 0.7269  0.00
Se 0.2381 0.2381 0.2857  0.00
Se 0.7868 0.2391 0.7349  -0.01
Ce 0.0010 0.0010 0.9971  1.06
Pm 0.0017 0.4952 0.5014  0.04
Pm 0.4952 0.0017 0.5014  0.04
Pm 0.6252 0.6252 0.1243  0.04
Pm 0.0017 0.0017 0.5014  0.04
Sr 0.3751 0.3751 0.8748  0.00

Crystal system: trigonal
Formation energy without anion corrections: -1.790 eV/atom


Number 1: ρ 14.8 Mg/m³. Number 2: ρ 14.0 Mg/m³. Number 3: ρ 6.8 Mg/m³. Number 4: ρ 10.6 Mg/m³. Number 5: ρ 7.9 Mg/m³. Number 6: ρ 3.2 Mg/m³. Number 7: ρ 4.7 Mg/m³. Number 8: ρ 10.7 Mg/m³. Number 9: ρ 2.6 Mg/m³. Number 10: ρ 9.5 Mg/m³. Number 11: ρ 6.8 Mg/m³. Number 12: ρ 5.1 Mg/m³.